This record from the Alexandria database describes a relaxed structure of HfTeHI. The functional is GGA-PBE.

Computed properties:
As for the crystal system: trigonal. The space group is R3m, No. 160. The final energy is -5.24 eV per atom.

abc: 8.1046 8.1046 8.1046
angles: 26.80 26.80 26.80
Atoms (fractional coordinates):
Hf1 0.0000 0.0000 0.0000
Te1 0.5849 0.5849 0.5849
H1 0.3361 0.3361 0.3361
I1 0.7554 0.7554 0.7554